No. 1
Rb3Bi5O12 | PBE-GGA | relaxed

E_form (uncorrected)   -1.069 eV/atom

a = 12.5910 Å, b = 12.5910 Å, c = 12.5910 Å
α = 109.47°, β = 109.47°, γ = 109.47°
Closest atoms and distances in Å follow each position.
Positions (direct):
O1 0.6750 0.4916 0.5999  2 Bi 2.15-2.20
O2 0.8167 0.3250 0.9250  2 Bi 2.15-2.20
O3 0.0750 0.1750 0.1833  2 Bi 2.15-2.20
O4 0.6833 0.1083 0.0084  2 Bi 2.15-2.20
O5 0.0999 0.9250 0.1083  2 Bi 2.15-2.20
O6 0.5750 0.6833 0.6750  2 Bi 2.15-2.20
O7 0.9001 0.8250 0.5084  2 Bi 2.15-2.20
O8 0.5084 0.1833 0.1083  2 Bi 2.15-2.20
O9 0.4250 0.3167 0.3250  2 Bi 2.15-2.20
O10 0.1083 0.6833 0.5084  2 Bi 2.15-2.20
O11 0.1833 0.5084 0.6083  2 Bi 2.15-2.20
O12 0.5999 0.6083 0.4250  2 Bi 2.15-2.20
O13 0.8250 0.9001 0.0084  2 Bi 2.15-2.20
O14 0.8250 0.9250 0.3167  2 Bi 2.15-2.20
O15 0.9001 0.0750 0.8917  2 Bi 2.15-2.20
O16 0.4916 0.8167 0.8917  2 Bi 2.15-2.20
O17 0.3250 0.8167 0.4250  2 Bi 2.15-2.20
O18 0.6750 0.1833 0.5750  2 Bi 2.15-2.20
O19 0.8917 0.5750 0.9001  2 Bi 2.15-2.20
O20 0.5084 0.3250 0.9001  2 Bi 2.15-2.20
O21 0.6083 0.0084 0.1833  2 Bi 2.15-2.20
O22 0.3917 0.4001 0.0750  2 Bi 2.15-2.20
O23 0.5999 0.9916 0.6750  2 Bi 2.15-2.20
O24 0.4001 0.3917 0.5750  2 Bi 2.15-2.20
O25 0.4250 0.1083 0.5999  2 Bi 2.15-2.20
O26 0.9916 0.3917 0.3167  2 Bi 2.15-2.20
O27 0.5750 0.8917 0.4001  2 Bi 2.15-2.20
O28 0.4001 0.0084 0.3250  2 Bi 2.15-2.20
O29 0.9250 0.0999 0.6083  2 Bi 2.15-2.20
O30 0.3917 0.9916 0.8167  2 Bi 2.15-2.20
O31 0.3250 0.5084 0.4001  2 Bi 2.15-2.20
O32 0.8917 0.3167 0.4916  2 Bi 2.15-2.20
O33 0.0084 0.6083 0.6833  2 Bi 2.15-2.20
O34 0.6833 0.5750 0.1750  2 Bi 2.15-2.20
O35 0.4916 0.6750 0.0999  2 Bi 2.15-2.20
O36 0.0750 0.9001 0.3917  2 Bi 2.15-2.20
O37 0.3167 0.8917 0.9916  2 Bi 2.15-2.20
O38 0.1083 0.4250 0.0999  2 Bi 2.15-2.20
O39 0.0084 0.4001 0.8250  2 Bi 2.15-2.20
O40 0.9250 0.8250 0.8167  2 Bi 2.15-2.20
O41 0.1750 0.0999 0.9916  2 Bi 2.15-2.20
O42 0.0999 0.1750 0.4916  2 Bi 2.15-2.20
O43 0.8167 0.4916 0.3917  2 Bi 2.15-2.20
O44 0.9916 0.5999 0.1750  2 Bi 2.15-2.20
O45 0.6083 0.5999 0.9250  2 Bi 2.15-2.20
O46 0.1750 0.0750 0.6833  2 Bi 2.15-2.20
O47 0.1833 0.6750 0.0750  2 Bi 2.15-2.20
O48 0.3167 0.4250 0.8250  2 Bi 2.15-2.20
Bi1 0.2500 0.8750 0.1250  4 O 2.15
Bi2 0.0000 0.0000 0.5000  6 O 2.20
Bi3 0.7500 0.6250 0.3750  4 O 2.15
Bi4 0.8750 0.2500 0.6250  4 O 2.15
Bi5 0.0000 0.5000 0.0000  6 O 2.20
Bi6 0.1250 0.3750 0.2500  4 O 2.15
Bi7 0.5000 0.0000 0.5000  6 O 2.20
Bi8 0.3750 0.2500 0.1250  4 O 2.15
Bi9 0.5000 0.5000 0.5000  6 O 2.20
Bi10 0.6250 0.7500 0.8750  4 O 2.15
Bi11 0.5000 0.5000 0.0000  6 O 2.20
Bi12 0.2500 0.3750 0.6250  4 O 2.15
Bi13 0.8750 0.6250 0.7500  4 O 2.15
Bi14 0.1250 0.7500 0.3750  4 O 2.15
Bi15 0.0000 0.0000 0.0000  6 O 2.20
Bi16 0.7500 0.1250 0.8750  4 O 2.15
Bi17 0.6250 0.8750 0.2500  4 O 2.15
Bi18 0.0000 0.5000 0.5000  6 O 2.20
Bi19 0.5000 0.0000 0.0000  6 O 2.20
Bi20 0.3750 0.1250 0.7500  4 O 2.15
Rb1 0.1250 0.8750 0.7500  8 O 2.85-3.08
Rb2 0.2500 0.6250 0.8750  8 O 2.85-3.08
Rb3 0.6250 0.2500 0.3750  8 O 2.85-3.08
Rb4 0.3750 0.7500 0.6250  8 O 2.85-3.08
Rb5 0.7500 0.3750 0.1250  8 O 2.85-3.08
Rb6 0.2500 0.1250 0.3750  8 O 2.85-3.08
Rb7 0.6250 0.3750 0.7500  8 O 2.85-3.08
Rb8 0.8750 0.1250 0.2500  8 O 2.85-3.08
Rb9 0.1250 0.2500 0.8750  8 O 2.85-3.08
Rb10 0.7500 0.8750 0.6250  8 O 2.85-3.08
Rb11 0.8750 0.7500 0.1250  8 O 2.85-3.08
Rb12 0.3750 0.6250 0.2500  8 O 2.85-3.08

=====

No. 2
PuInHgO | PBE-GGA | relaxed

E_form (uncorrected)   -1.281 eV/atom

a = 4.1423 Å, b = 4.1423 Å, c = 10.5344 Å
α = 90.00°, β = 90.00°, γ = 90.00°
Closest atoms and distances in Å follow each position.
Positions (direct):
O1 0.0000 0.0000 0.0000  4 Pu 2.32
O2 0.5000 0.5000 0.0000  4 Pu 2.32
In1 0.5000 0.5000 0.5000  4 In 2.93, 4 Hg 3.19
In2 0.0000 0.0000 0.5000  4 In 2.93, 4 Hg 3.19
Hg1 0.5000 0.0000 0.7306  4 In 3.19, 4 Pu 3.43, 4 O 3.51
Hg2 0.0000 0.5000 0.2694  4 In 3.19, 4 Pu 3.43, 4 O 3.51
Pu1 0.5000 0.0000 0.0992  4 O 2.32
Pu2 0.0000 0.5000 0.9008  4 O 2.32

=====

Number 1: theoretical density 6.5 g cm⁻³, N(E_F) 12.31 states/eV/cell. Number 2: theoretical density 10.6 g cm⁻³, N(E_F) 14.80 states/eV/cell.